{"formula": "Re3Cl", "functional": "PBE", "state": "optimized geometry", "lattice_angstrom": [[4.421, 0.000, 0.000], [2.211, 3.829, 0.000], [2.211, 1.276, 3.610]], "species": ["Cl", "Re", "Re", "Re"], "frac_coords": [[0.000, 0.000, 0.000], [0.500, 0.500, 0.500], [0.750, 0.750, 0.750], [0.250, 0.250, 0.250]], "formation_energy_uncorrected_mev_per_atom": 1107, "magnetic_moment_mub_per_fu": 0.00, "de_polymorph_ev_per_atom": 0.689, "dft_energy_ev_per_fu": -34.8}